## Mg3P2H16O16 (SCAN)

Data for a PBEsol-optimized structure of Mg3P2H16O16. Values from VASP.

total moment = 0.000 μB per atom
DFT total energy = -0.2527 hartree per atom

Cell and atoms, written as Quantum ESPRESSO input:
```
&SYSTEM
  ibrav = 0, nat = 74, ntyp = 4
/
ATOMIC_SPECIES
Mg 24.30 Mg.upf
P 30.97 P.upf
H 1.01 H.upf
O 16.00 O.upf
CELL_PARAMETERS angstrom
2.3205 -13.5251 0.0000
2.3205 13.5251 0.0000
-2.0169 0.0000 9.7147
ATOMIC_POSITIONS crystal
Mg 0.0747 0.9253 0.7500
Mg 0.1858 0.8142 0.7500
Mg 0.3726 0.6274 0.7500
Mg 0.6274 0.3726 0.2500
Mg 0.8142 0.1858 0.2500
Mg 0.9253 0.0747 0.2500
P 0.2946 0.5576 0.0640
P 0.4424 0.7054 0.4360
P 0.5576 0.2946 0.5640
P 0.7054 0.4424 0.9360
H 0.0171 0.4797 0.7794
H 0.0808 0.9023 0.3798
H 0.0845 0.4657 0.5618
H 0.0977 0.9192 0.1202
H 0.1415 0.5951 0.1258
H 0.1566 0.8208 0.3750
H 0.1792 0.8434 0.1250
H 0.1852 0.2104 0.6488
H 0.1937 0.3438 0.5429
H 0.2104 0.1852 0.1488
H 0.3374 0.4134 0.1240
H 0.3438 0.1937 0.0429
H 0.4049 0.8585 0.3742
H 0.4134 0.3374 0.6240
H 0.4657 0.0845 0.0618
H 0.4797 0.0171 0.2794
H 0.5203 0.9829 0.7206
H 0.5343 0.9155 0.9382
H 0.5866 0.6626 0.3760
H 0.5951 0.1415 0.6258
H 0.6562 0.8063 0.9571
H 0.6626 0.5866 0.8760
H 0.7896 0.8148 0.8512
H 0.8063 0.6562 0.4571
H 0.8148 0.7896 0.3512
H 0.8208 0.1566 0.8750
H 0.8434 0.1792 0.6250
H 0.8585 0.4049 0.8742
H 0.9023 0.0808 0.8798
H 0.9155 0.5343 0.4382
H 0.9192 0.0977 0.6202
H 0.9829 0.5203 0.2206
O 0.0287 0.3964 0.6521
O 0.0486 0.5675 0.8438
O 0.0536 0.3161 0.1500
O 0.1378 0.2866 0.6383
O 0.1425 0.4025 0.9077
O 0.1675 0.2163 0.1475
O 0.2073 0.5660 0.4102
O 0.2163 0.1675 0.6475
O 0.2866 0.1378 0.1383
O 0.2980 0.4659 0.4076
O 0.3161 0.0536 0.6500
O 0.3964 0.0287 0.1521
O 0.4025 0.1425 0.4077
O 0.4325 0.9514 0.6562
O 0.4340 0.7927 0.0898
O 0.4659 0.2980 0.9076
O 0.5341 0.7020 0.0924
O 0.5660 0.2073 0.9102
O 0.5675 0.0486 0.3438
O 0.5975 0.8575 0.5923
O 0.6036 0.9713 0.8479
O 0.6839 0.9464 0.3500
O 0.7020 0.5341 0.5924
O 0.7134 0.8622 0.8617
O 0.7837 0.8325 0.3525
O 0.7927 0.4340 0.5898
O 0.8325 0.7837 0.8525
O 0.8575 0.5975 0.0923
O 0.8622 0.7134 0.3617
O 0.9464 0.6839 0.8500
O 0.9514 0.4325 0.1562
O 0.9713 0.6036 0.3479
```